# TlPb6F12

Crystalline TlPb6F12 at its relaxed geometry (GGA-PBE, Alexandria via LeMat-Bulk).

Output
DOS(E_F) (states/eV/f.u.): 4.79
Raw formation energy (eV per formula unit): -40.5
Magnetic moment (μB/cell): 1.02
Total energy (eV/atom): -4.61
Theoretical density (Mg/m³): 7.432

Structure (POSCAR):
```
TlPb6F12
1.0
5.8603 3.3835 3.1470
-5.8603 3.3835 3.1470
0.0000 -6.7669 3.1470
Tl Pb F
1 6 12
direct
0.0000 0.0000 0.0000
0.2381 0.2381 0.6452
0.2381 0.6452 0.2381
0.3548 0.7619 0.7619
0.6452 0.2381 0.2381
0.7619 0.3548 0.7619
0.7619 0.7619 0.3548
0.1309 0.5000 0.8691
0.1309 0.8691 0.5000
0.1939 0.4599 0.4599
0.4599 0.1939 0.4599
0.4599 0.4599 0.1939
0.5000 0.1309 0.8691
0.5000 0.8691 0.1309
0.5401 0.5401 0.8061
0.5401 0.8061 0.5401
0.8061 0.5401 0.5401
0.8691 0.1309 0.5000
0.8691 0.5000 0.1309
```